VASP calculation (GGA+U) on a relaxed Rb2LiMnF6 crystal.

a = 5.8565 Å, b = 5.8565 Å, c = 5.8565 Å
α = 60.00°, β = 60.00°, γ = 60.00°
Last column: nearest neighbours and their distance in Å.
Atoms (fractional coordinates):
Rb  0.7500  0.7500  0.7500  12 F 2.93
F  0.7340  0.2660  0.7340  1 Mn 1.94
F  0.7340  0.2660  0.2660  1 Mn 1.94
Li  0.0000  0.0000  0.0000  6 F 2.20
F  0.7340  0.7340  0.2660  1 Mn 1.94
F  0.2660  0.7340  0.2660  1 Mn 1.94
F  0.2660  0.7340  0.7340  1 Mn 1.94
F  0.2660  0.2660  0.7340  1 Mn 1.94
Mn  0.5000  0.5000  0.5000  6 F 1.94
Rb  0.2500  0.2500  0.2500  12 F 2.93

Output
The electronic total energy is -47.625 eV/cell. The calculation puts the size of the total moment at 2.0 μB/f.u. The density of states at the Fermi level comes out at 0.8557 states/eV per atom.